The following is a DFT calculation (GGA-PBE) of a geometry-optimized SrHf3H structure.

a = 5.235 Å, b = 5.235 Å, c = 5.235 Å
α = 90.00°, β = 90.00°, γ = 90.00°
Space group Pm-3m (No. 221)
Inequivalent atoms, fractional coordinates:
Sr  0.000  0.000  0.000
Hf  0.000  0.000  0.500
H  0.500  0.500  0.500

Properties
* calculated volume: 143.4 Å³/cell
* polymorph energy (0 for the lowest one): 2.327 eV/atom

***

The following is a DFT calculation (GGA-PBE) of a geometry-optimized HfNpTe2 structure.

a = 5.163 Å, b = 5.163 Å, c = 3.638 Å
α = 90.00°, β = 90.00°, γ = 90.00°
Space group P4/mmm (No. 123)
Inequivalent atoms, fractional coordinates:
Hf  0.000  0.000  0.000
Np  0.500  0.500  0.000
Te  0.000  0.500  0.500

Properties
* calculated volume: 97.0 Å³/cell
* polymorph energy (0 for the lowest one): 0.000 eV/atom
* energy relative to the elements, uncorrected: -1.79 eV per formula unit

***

The following is a DFT calculation (GGA-PBE) of a geometry-optimized Dy4TlCdO structure.

a = 6.605 Å, b = 16.046 Å, c = 6.607 Å
α = 90.00°, β = 90.00°, γ = 90.00°
Space group Cmcm (No. 63)
Inequivalent atoms, fractional coordinates:
Dy  0.000  0.077  0.250
Dy  0.000  0.421  0.250
Dy  0.250  0.250  0.000
Tl  0.000  0.387  0.750
Cd  0.000  0.115  0.750
O  0.000  0.251  0.250

Properties
* calculated volume: 700.3 Å³/cell
* energy relative to the elements, uncorrected: -6.90 eV per formula unit

***

The following is a DFT calculation (GGA-PBE) of a geometry-optimized Mg2TcCl structure.

a = 3.852 Å, b = 3.852 Å, c = 10.373 Å
α = 90.00°, β = 90.00°, γ = 90.00°
Space group I-4m2 (No. 119)
Inequivalent atoms, fractional coordinates:
Mg  0.000  0.000  0.000
Mg  0.000  0.500  0.250
Tc  0.000  0.500  0.750
Cl  0.000  0.000  0.500

Properties
* calculated volume: 153.9 Å³/cell
* polymorph energy (0 for the lowest one): 0.590 eV/atom
* energy relative to the elements, uncorrected: 1.31 eV per formula unit